No. 1
VASP calculation (PBE-GGA) on a relaxed structure of In3TeF.

Properties
Theoretical density: 2.99 g/cm³
Distance to the lowest polymorph of the same formula: 667 meV/atom
Formation energy (no corrections): 0.009 eV/atom

Unit cell a=6.488 b=6.488 c=6.488 alpha=90.00 beta=90.00 gamma=90.00
Positions (direct):
1 F 0.500 0.500 0.500
2 Te 0.000 0.000 0.000
3 In 0.500 0.000 0.000
4 In 0.000 0.500 0.000
5 In 0.000 0.000 0.500



No. 2
VASP calculation (PBE-GGA) on a relaxed structure of InTeF.

Properties
Theoretical density: 4.89 g/cm³
Distance to the lowest polymorph of the same formula: 0 meV/atom
Formation energy (no corrections): -1.259 eV/atom

Unit cell a=4.336 b=7.490 c=6.172 alpha=116.21 beta=97.77 gamma=90.65
Positions (direct):
1 In 0.188 0.059 0.301
2 In 0.812 0.941 0.699
3 F 0.780 0.882 0.003
4 F 0.220 0.118 0.997
5 Te 0.246 0.712 0.391
6 Te 0.754 0.288 0.609



No. 3
VASP calculation (PBE-GGA) on a relaxed structure of In2TeF2.

Properties
Theoretical density: 6.53 g/cm³
Formation energy (no corrections): -1.333 eV/atom

Unit cell a=3.933 b=3.933 c=7.067 alpha=73.85 beta=73.85 gamma=90.00
Positions (direct):
1 In 0.364 0.364 0.271
2 In 0.636 0.636 0.729
3 F 0.250 0.750 0.500
4 F 0.750 0.250 0.500
5 Te 0.000 0.000 0.000



No. 4
VASP calculation (PBE-GGA) on a relaxed structure of InTe3F.

Properties
Theoretical density: 6.60 g/cm³
Distance to the lowest polymorph of the same formula: 0 meV/atom
Formation energy (no corrections): -0.100 eV/atom

Unit cell a=5.066 b=5.066 c=5.066 alpha=90.00 beta=90.00 gamma=90.00
Positions (direct):
1 In 0.500 0.500 0.500
2 Te 0.000 0.000 0.500
3 Te 0.500 0.000 0.000
4 Te 0.000 0.500 0.000
5 F 0.000 0.000 0.000



No. 5
VASP calculation (PBE-GGA) on a relaxed structure of InTeF.

Properties
Theoretical density: 4.86 g/cm³
Distance to the lowest polymorph of the same formula: 235 meV/atom
Formation energy (no corrections): -1.024 eV/atom

Unit cell a=4.531 b=7.200 c=6.527 alpha=122.94 beta=90.00 gamma=90.00
Positions (direct):
1 F 0.861 0.863 0.006
2 F 0.861 0.102 0.488
3 In 0.861 0.243 0.245
4 In 0.861 0.745 0.249
5 Te 0.361 0.671 0.509
6 Te 0.361 0.415 0.986



No. 6
VASP calculation (PBE-GGA) on a relaxed structure of InTe3F.

Properties
Theoretical density: 4.90 g/cm³
Distance to the lowest polymorph of the same formula: 475 meV/atom
Formation energy (no corrections): 0.375 eV/atom

Unit cell a=5.595 b=5.595 c=5.595 alpha=90.00 beta=90.00 gamma=90.00
Positions (direct):
1 F 0.500 0.500 0.500
2 Te 0.500 0.000 0.000
3 Te 0.000 0.000 0.500
4 Te 0.000 0.500 0.000
5 In 0.000 0.000 0.000